Record 1
Tb2Tm6Ga after structural relaxation. Source: the Alexandria database, functional PBE.

Geometry as POSCAR:
```
Tb2Tm6Ga
1.0
3.468 0.000 0.217
0.000 9.100 0.001
-0.530 -4.549 8.509
Tb Tm Ga
2 6 1
direct
0.500 0.680 0.360 Tb
0.500 0.320 0.640 Tb
0.000 0.334 0.322 Tm
0.000 0.012 0.678 Tm
0.000 0.666 0.678 Tm
0.500 0.285 0.000 Tm
0.000 0.988 0.322 Tm
0.500 0.715 0.000 Tm
0.000 0.000 0.000 Ga
```

SG: Cmmm, No. 65
E_form in eV/atom: 0.022
Raw total energy in eV/atom: -4.324

***

Record 2
La2Te2Pb after structural relaxation. Source: the Alexandria database, functional PBE.

Geometry as POSCAR:
```
La2Te2Pb
1.0
-2.850 -4.280 7.387
-6.949 -3.362 -4.629
2.216 -3.202 -1.000
Pb Te La
2 4 4
direct
0.000 0.000 0.000 Pb
0.500 0.500 0.000 Pb
0.360 0.860 0.000 Te
0.860 0.640 0.000 Te
0.640 0.140 0.000 Te
0.140 0.360 0.000 Te
0.159 0.659 0.500 La
0.659 0.841 0.500 La
0.841 0.341 0.500 La
0.341 0.159 0.500 La
```

Energy relative to the elements, uncorrected in eV per atom: -1.0601
Relative energy among the computed polymorphs in meV/atom: 29
SG: P4/mbm, No. 127
Raw total energy in eV/atom: -5.029

***

Record 3
Li3Mg4Pb4 after structural relaxation. Source: the Alexandria database, functional PBE.

Geometry as POSCAR:
```
Li3Mg4Pb4
1.0
4.589 0.000 0.000
-2.294 6.455 0.000
0.000 0.000 9.248
Li Mg Pb
3 4 4
direct
0.407 0.815 0.268 Li
0.407 0.815 0.732 Li
0.263 0.526 0.000 Li
0.592 0.184 0.500 Mg
0.583 0.166 0.000 Mg
0.094 0.188 0.746 Mg
0.094 0.188 0.254 Mg
0.748 0.495 0.755 Pb
0.748 0.495 0.245 Pb
0.932 0.863 0.500 Pb
0.930 0.860 0.000 Pb
```

Relative energy among the computed polymorphs in meV/atom: 43
SG: Amm2, No. 38
E_form in eV/atom: -0.118
Raw total energy in eV/atom: -2.569

***

Record 4
CaNbGeTeP after structural relaxation. Source: the Alexandria database, functional PBE.

Geometry as POSCAR:
```
CaNbGeTeP
1.0
8.522 0.000 0.001
0.000 3.807 0.000
-3.770 0.000 7.148
Ca Nb Ge Te P
2 2 2 2 2
direct
0.441 0.000 0.474 Ca
0.441 0.500 0.974 Ca
0.953 0.000 0.362 Nb
0.953 0.500 0.862 Nb
0.206 0.000 0.041 Ge
0.206 0.500 0.541 Ge
0.711 0.000 0.922 Te
0.711 0.500 0.422 Te
0.036 0.000 0.710 P
0.036 0.500 0.210 P
```

Energy relative to the elements, uncorrected in eV per atom: -0.5224
Relative energy among the computed polymorphs in meV/atom: 83
SG: Cm, No. 8
Raw total energy in eV/atom: -5.570